TbGa after structural relaxation, computed with PBE.

Cell: 3.5150 3.5149 4.6246 Å, 90.00 90.00 120.00°
Closest atoms and distances in Å follow each position.
Fractional coordinates of all 2 atoms:
Tb  0.3333  0.6667  0.2500  6 Ga 3.08
Ga  0.6667  0.3333  0.7500  6 Tb 3.08

Summary:
Space group   P-6m2 (187)

***

TbGa after structural relaxation, computed with PBE.

Cell: 4.2022 4.2022 4.2022 Å, 60.00 60.00 60.00°
Closest atoms and distances in Å follow each position.
Fractional coordinates of all 2 atoms:
Tb  0.5000  0.5000  0.5000  6 Ga 2.97
Ga  0.0000  0.0000  0.0000  6 Tb 2.97

Summary:
Space group   Fm-3m (225)

***

Tb3Ga5 after structural relaxation, computed with PBE.

Cell: 11.5092 9.6942 6.1215 Å, 90.00 90.00 90.00°
Closest atoms and distances in Å follow each position.
Fractional coordinates of all 32 atoms:
Tb  0.1481  0.4905  0.6098  10 Ga 2.99-3.32
Tb  0.6481  0.4905  0.8902  10 Ga 2.99-3.32
Tb  0.8519  0.5095  0.3902  10 Ga 2.99-3.32
Tb  0.3519  0.9905  0.1098  10 Ga 2.99-3.32
Tb  0.3519  0.5095  0.1098  10 Ga 2.99-3.32
Tb  0.0739  0.7500  0.1514  8 Ga 2.86-3.18
Tb  0.8519  0.9905  0.3902  10 Ga 2.99-3.32
Tb  0.4261  0.2500  0.6514  8 Ga 2.86-3.18
Tb  0.1481  0.0095  0.6098  10 Ga 2.99-3.32
Tb  0.6481  0.0095  0.8902  10 Ga 2.99-3.32
Tb  0.9261  0.2500  0.8486  8 Ga 2.86-3.18
Tb  0.5739  0.7500  0.3486  8 Ga 2.86-3.18
Ga  0.2525  0.7500  0.8254  4 Ga 2.66-2.91, 1 Tb 2.86
Ga  0.4093  0.9465  0.6254  4 Ga 2.66-2.90, 1 Tb 2.95
Ga  0.5907  0.4465  0.3746  4 Ga 2.66-2.90, 1 Tb 2.95
Ga  0.7995  0.7500  0.1008  3 Ga 2.66-2.67
Ga  0.0044  0.7500  0.6299  3 Ga 2.66-2.91
Ga  0.4093  0.5535  0.6254  4 Ga 2.66-2.90, 1 Tb 2.95
Ga  0.9956  0.2500  0.3701  3 Ga 2.66-2.91
Ga  0.7525  0.7500  0.6746  4 Ga 2.66-2.91, 1 Tb 2.86
Ga  0.9093  0.5535  0.8746  4 Ga 2.66-2.90, 1 Tb 2.95
Ga  0.2005  0.2500  0.8992  3 Ga 2.66-2.67
Ga  0.7005  0.2500  0.6008  3 Ga 2.66-2.67
Ga  0.9093  0.9465  0.8746  4 Ga 2.66-2.90, 1 Tb 2.95
Ga  0.2475  0.2500  0.3254  4 Ga 2.66-2.91, 1 Tb 2.86
Ga  0.2995  0.7500  0.3992  3 Ga 2.66-2.67
Ga  0.0907  0.0535  0.1254  4 Ga 2.66-2.90, 1 Tb 2.95
Ga  0.7475  0.2500  0.1746  4 Ga 2.66-2.91, 1 Tb 2.86
Ga  0.0907  0.4465  0.1254  4 Ga 2.66-2.90, 1 Tb 2.95
Ga  0.4956  0.2500  0.1299  3 Ga 2.66-2.91
Ga  0.5044  0.7500  0.8701  3 Ga 2.66-2.91
Ga  0.5907  0.0535  0.3746  4 Ga 2.66-2.90, 1 Tb 2.95

Summary:
Space group   Pnma (62)

***

Number 1: magnetic moment 0.013 μB per formula unit, E_tot -4.134 eV/atom. Number 2: magnetic moment 0.348 μB per formula unit, E_tot -4.100 eV/atom. Number 3: magnetic moment 0.004 μB per formula unit, E_tot -4.292 eV/atom.